IrRuI2, relaxed, DFT PBEsol; final energy = -4.74 eV/atom
1.0
4.739 0.000 0.000
2.370 4.104 0.000
2.370 1.368 3.869
I Ir Ru
2 1 1
Direct
0.250 0.250 0.250
0.750 0.750 0.750
0.500 0.500 0.500
0.000 0.000 0.000